First-principles (PBE-GGA) data for crystalline Th2Bi2C at its relaxed geometry, as listed in the Alexandria database.

Its total magnetic moment is 0.0 μB per cell. The calculation puts the total energy at -6.608 eV/atom. The energy relative to the elements is -0.243 eV per atom.

It has space group Cmc2_1 (No. 36), with a = 4.3012 Å, b = 16.0025 Å, c = 8.4651 Å, α = 90.00°, β = 90.00° and γ = 90.00°. The inequivalent atoms are Th at (0.0000, 0.0435, 0.0000), Th at (0.0000, 0.3627, 0.8352), Bi at (0.0000, 0.2829, 0.4794), Bi at (0.0000, 0.4191, 0.2078) and C at (0.0000, 0.0761, 0.2831).